No. 1
# AsS2Cl, relaxed, DFT PBE
data_AsS2Cl
_chemical_formula_sum 'As1 S2 Cl1'
_space_group_name_H-M_alt 'P 1'
_space_group_IT_number 1
_cell_length_a 7.783
_cell_length_b 7.783
_cell_length_c 7.783
_cell_angle_alpha 28.40
_cell_angle_beta 28.40
_cell_angle_gamma 28.40
loop_
_space_group_symop_operation_xyz
'x,y,z'
loop_
_atom_site_label
_atom_site_type_symbol
_atom_site_fract_x
_atom_site_fract_y
_atom_site_fract_z
S1 S 0.104 0.104 0.104
Cl1 Cl 0.000 0.000 0.000
S2 S 0.896 0.896 0.896
As1 As 0.500 0.500 0.500
# formation energy without anion corrections	0.093	eV per atom
# space group	R-3m
# D(E_F)	1.48	states/eV per cell


No. 2
# AsS4Cl, relaxed, DFT PBE
data_AsS4Cl
_chemical_formula_sum 'As1 S4 Cl1'
_space_group_name_H-M_alt 'P 1'
_space_group_IT_number 1
_cell_length_a 5.588
_cell_length_b 4.794
_cell_length_c 7.596
_cell_angle_alpha 84.21
_cell_angle_beta 96.30
_cell_angle_gamma 91.79
loop_
_space_group_symop_operation_xyz
'x,y,z'
loop_
_atom_site_label
_atom_site_type_symbol
_atom_site_fract_x
_atom_site_fract_y
_atom_site_fract_z
As1 As 0.074 0.640 0.585
Cl1 Cl 0.820 0.775 0.089
S1 S 0.151 0.407 0.866
S2 S 0.828 0.418 0.956
S3 S 0.229 0.301 0.426
S4 S 0.387 0.974 0.586
# formation energy without anion corrections	-0.041	eV per atom
# space group	P1
# D(E_F)	0.00	states/eV per cell